Material: KIrRu2
Method: DFT, PBE-GGA
State: relaxed

The calculation puts the total energy at -6.401 eV/atom.

It has space group P4/mmm (No. 123), with a = 2.756 Å, b = 2.756 Å, c = 9.409 Å, α = 90.00°, β = 90.00° and γ = 90.00°. The distinct sites, in fractional coordinates, are K at (0.000, 0.000, 0.000), Ir at (0.000, 0.000, 0.500) and Ru at (0.500, 0.500, 0.304).